DFT (PBE-GGA) results for an optimized crystal structure of Ho2Tm7Mg2.

a = 5.9290 Å, b = 9.8385 Å, c = 5.9290 Å
α = 91.77°, β = 71.48°, γ = 88.23°
Fractional positions:
1 Ho 0.7057 0.0000 0.7057
2 Ho 0.2943 0.0000 0.2943
3 Tm 0.8148 0.6509 0.5896
4 Tm 0.4104 0.6509 0.1852
5 Tm 0.1524 0.1464 0.8476
6 Tm 0.0000 0.5000 0.0000
7 Tm 0.8476 0.8536 0.1524
8 Tm 0.1852 0.3491 0.4104
9 Tm 0.5896 0.3491 0.8148
10 Mg 0.2873 0.7935 0.7127
11 Mg 0.7127 0.2065 0.2873

**Symmetry**: C2/m, No. 12
**Magnetic moment**: 0.00 μB/f.u.
**Calculated density**: 7.9 g/cm3
**E_form**: 121 kJ/mol of formula units

=====

DFT (PBE-GGA) results for an optimized crystal structure of Ho2TmMg.

a = 3.5399 Å, b = 3.5399 Å, c = 9.2509 Å
α = 90.00°, β = 90.00°, γ = 90.00°
Fractional positions:
1 Mg 0.5000 0.5000 0.0000
2 Tm 0.5000 0.5000 0.5000
3 Ho 0.0000 0.0000 0.7605
4 Ho 0.0000 0.0000 0.2395

**Symmetry**: P4/mmm, No. 123
**Magnetic moment**: 0.00 μB/f.u.
**Calculated density**: 7.5 g/cm3
**E_form**: -9 kJ/mol of formula units